Li2SiP2 | PBE | relaxed

Calculated total energy   -4.532 eV per atom
Spin magnetization   0.00 μB per cell
ΔE_f (raw)   -518 meV per atom

a = 12.340 Å, b = 12.280 Å, c = 18.473 Å
α = 90.00°, β = 90.00°, γ = 90.00°
Sites, in units of the cell vectors:
P (0.451, 0.031, 0.621)
P (0.049, 0.969, 0.121)
P (0.549, 0.531, 0.879)
P (0.951, 0.469, 0.379)
P (0.549, 0.969, 0.379)
P (0.951, 0.031, 0.879)
P (0.451, 0.469, 0.121)
P (0.049, 0.531, 0.621)
P (0.237, 0.073, 0.499)
P (0.263, 0.927, 0.999)
P (0.763, 0.573, 0.001)
P (0.737, 0.427, 0.501)
P (0.763, 0.927, 0.501)
P (0.737, 0.073, 0.001)
P (0.237, 0.427, 0.999)
P (0.263, 0.573, 0.499)
P (0.531, 0.456, 0.624)
P (0.969, 0.544, 0.124)
P (0.469, 0.956, 0.876)
P (0.031, 0.044, 0.376)
P (0.469, 0.544, 0.376)
P (0.031, 0.456, 0.876)
P (0.531, 0.044, 0.124)
P (0.969, 0.956, 0.624)
P (0.677, 0.992, 0.744)
P (0.823, 0.008, 0.244)
P (0.323, 0.492, 0.756)
P (0.177, 0.508, 0.256)
P (0.323, 0.008, 0.256)
P (0.177, 0.992, 0.756)
P (0.677, 0.508, 0.244)
P (0.823, 0.492, 0.744)
P (0.699, 0.205, 0.625)
P (0.801, 0.795, 0.125)
P (0.301, 0.705, 0.875)
P (0.199, 0.295, 0.375)
P (0.301, 0.795, 0.375)
P (0.199, 0.205, 0.875)
P (0.699, 0.295, 0.125)
P (0.801, 0.705, 0.625)
P (0.283, 0.283, 0.630)
P (0.217, 0.717, 0.130)
P (0.717, 0.783, 0.870)
P (0.783, 0.217, 0.370)
P (0.717, 0.717, 0.370)
P (0.783, 0.283, 0.870)
P (0.283, 0.217, 0.130)
P (0.217, 0.783, 0.630)
P (0.493, 0.238, 0.771)
P (0.007, 0.762, 0.271)
P (0.507, 0.738, 0.729)
P (0.993, 0.262, 0.229)
P (0.507, 0.762, 0.229)
P (0.993, 0.238, 0.729)
P (0.493, 0.262, 0.271)
P (0.007, 0.738, 0.771)
P (0.487, 0.248, 0.479)
P (0.013, 0.752, 0.979)
P (0.513, 0.748, 0.021)
P (0.987, 0.252, 0.521)
P (0.513, 0.752, 0.521)
P (0.987, 0.248, 0.021)
P (0.487, 0.252, 0.979)
P (0.013, 0.748, 0.479)
Si (0.370, 0.165, 0.558)
Si (0.130, 0.835, 0.058)
Si (0.630, 0.665, 0.942)
Si (0.870, 0.335, 0.442)
Si (0.630, 0.835, 0.442)
Si (0.870, 0.165, 0.942)
Si (0.370, 0.335, 0.058)
Si (0.130, 0.665, 0.558)
Si (0.608, 0.324, 0.555)
Si (0.892, 0.676, 0.055)
Si (0.392, 0.824, 0.945)
Si (0.108, 0.176, 0.445)
Si (0.392, 0.676, 0.445)
Si (0.108, 0.324, 0.945)
Si (0.608, 0.176, 0.055)
Si (0.892, 0.824, 0.555)
Si (0.417, 0.362, 0.695)
Si (0.083, 0.638, 0.195)
Si (0.583, 0.862, 0.805)
Si (0.917, 0.138, 0.305)
Si (0.583, 0.638, 0.305)
Si (0.917, 0.362, 0.805)
Si (0.417, 0.138, 0.195)
Si (0.083, 0.862, 0.695)
Si (0.571, 0.119, 0.691)
Si (0.929, 0.881, 0.191)
Si (0.429, 0.619, 0.809)
Si (0.071, 0.381, 0.309)
Si (0.429, 0.881, 0.309)
Si (0.071, 0.119, 0.809)
Si (0.571, 0.381, 0.191)
Si (0.929, 0.619, 0.691)
Li (0.407, 0.837, 0.625)
Li (0.093, 0.163, 0.125)
Li (0.593, 0.337, 0.875)
Li (0.907, 0.663, 0.375)
Li (0.593, 0.163, 0.375)
Li (0.907, 0.837, 0.875)
Li (0.407, 0.663, 0.125)
Li (0.093, 0.337, 0.625)
Li (0.601, 0.080, 0.527)
Li (0.899, 0.920, 0.027)
Li (0.399, 0.580, 0.973)
Li (0.101, 0.420, 0.473)
Li (0.399, 0.920, 0.473)
Li (0.101, 0.080, 0.973)
Li (0.601, 0.420, 0.027)
Li (0.899, 0.580, 0.527)
Li (0.847, 0.854, 0.720)
Li (0.653, 0.146, 0.220)
Li (0.153, 0.354, 0.780)
Li (0.347, 0.646, 0.280)
Li (0.153, 0.146, 0.280)
Li (0.347, 0.854, 0.780)
Li (0.847, 0.646, 0.220)
Li (0.653, 0.354, 0.720)
Li (0.124, 0.905, 0.532)
Li (0.376, 0.095, 0.032)
Li (0.876, 0.405, 0.968)
Li (0.624, 0.595, 0.468)
Li (0.876, 0.095, 0.468)
Li (0.624, 0.905, 0.968)
Li (0.124, 0.595, 0.032)
Li (0.376, 0.405, 0.532)
Li (0.866, 0.322, 0.631)
Li (0.634, 0.678, 0.131)
Li (0.134, 0.822, 0.869)
Li (0.366, 0.178, 0.369)
Li (0.134, 0.678, 0.369)
Li (0.366, 0.322, 0.869)
Li (0.866, 0.178, 0.131)
Li (0.634, 0.822, 0.631)
Li (0.833, 0.125, 0.781)
Li (0.667, 0.875, 0.281)
Li (0.167, 0.625, 0.719)
Li (0.333, 0.375, 0.219)
Li (0.167, 0.875, 0.219)
Li (0.333, 0.125, 0.719)
Li (0.833, 0.375, 0.281)
Li (0.667, 0.625, 0.781)
Li (0.781, 0.024, 0.623)
Li (0.719, 0.976, 0.123)
Li (0.219, 0.524, 0.877)
Li (0.281, 0.476, 0.377)
Li (0.219, 0.976, 0.377)
Li (0.281, 0.024, 0.877)
Li (0.781, 0.476, 0.123)
Li (0.719, 0.524, 0.623)
Li (0.370, 0.599, 0.627)
Li (0.130, 0.401, 0.127)
Li (0.630, 0.099, 0.873)
Li (0.870, 0.901, 0.373)
Li (0.630, 0.401, 0.373)
Li (0.870, 0.599, 0.873)
Li (0.370, 0.901, 0.127)
Li (0.130, 0.099, 0.627)